Compound: Dy6Y8Sc
Source: Alexandria
Functional: PBE-GGA
Structure: relaxed

Summary:
**Total DFT energy (no corrections)**: -5.5676 eV/atom
**Energy above the lowest structure with this stoichiometry**: 0 meV per atom
**M_tot**: 0.000 μB per formula unit
**Energy relative to the elements**: 142.8 meV per atom
**N(E_F)**: 1.6128 states/eV/atom

Cell lengths 5.732, 9.842, 9.842 Å; angles 120.00, 90.00, 90.00 degrees
Fractional coordinates of all 15 atoms:
Y 0.767 0.220 0.950
Y 0.233 0.270 0.220
Y 0.767 0.050 0.270
Y 0.766 0.333 0.667
Y 0.234 0.667 0.333
Y 0.233 0.780 0.050
Y 0.233 0.950 0.730
Y 0.767 0.730 0.780
Dy 0.259 0.529 0.621
Dy 0.741 0.621 0.092
Dy 0.259 0.379 0.908
Dy 0.741 0.908 0.529
Dy 0.259 0.092 0.471
Dy 0.741 0.471 0.379
Sc 0.500 0.000 0.000